Record 1
# FeMo2Au

Crystalline FeMo2Au at its relaxed geometry (PBE-GGA, Alexandria via LeMat-Bulk).

Unit cell a=4.4508 b=4.4508 c=4.4508 alpha=60.00 beta=60.00 gamma=60.00
Closest atoms and distances in Å follow each position.
Atoms (fractional coordinates):
Fe1 0.0000 0.0000 0.0000  4 Au 2.73, 4 Mo 2.73
Mo1 0.2500 0.2500 0.2500  4 Fe 2.73, 4 Mo 2.73
Mo2 0.5000 0.5000 0.5000  4 Au 2.73, 4 Mo 2.73
Au1 0.7500 0.7500 0.7500  4 Mo 2.73, 4 Fe 2.73

Total moment   2.8 μB per cell
Calculated formation energy   158 kJ/mol of formula units
E   -31.8 eV/f.u.

Record 2
# FeMo2Au

Crystalline FeMo2Au at its relaxed geometry (PBE-GGA, Alexandria via LeMat-Bulk).

Unit cell a=2.7188 b=2.7188 c=8.2817 alpha=90.00 beta=90.00 gamma=90.00
Closest atoms and distances in Å follow each position.
Atoms (fractional coordinates):
Fe1 0.0000 0.0000 0.0000  4 Mo 2.63, 4 Fe 2.72, 4 Au 2.80
Mo1 0.0000 0.0000 0.4857  8 Mo 2.72-2.94, 4 Au 2.94
Mo2 0.5000 0.5000 0.2168  4 Fe 2.63, 8 Mo 2.72-2.94
Au1 0.5000 0.5000 0.7541  4 Au 2.72, 4 Fe 2.80, 4 Mo 2.94

Total moment   1.7 μB per cell
Calculated formation energy   94 kJ/mol of formula units
E   -32.4 eV/f.u.

Record 3
# FeMo2Au

Crystalline FeMo2Au at its relaxed geometry (PBE-GGA, Alexandria via LeMat-Bulk).

Unit cell a=3.8209 b=3.8209 c=4.1460 alpha=90.00 beta=90.00 gamma=90.00
Closest atoms and distances in Å follow each position.
Atoms (fractional coordinates):
Fe1 0.0000 0.0000 0.0000  4 Au 2.70, 8 Mo 2.82
Mo1 0.0000 0.5000 0.5000  4 Mo 2.70, 4 Au 2.82, 4 Fe 2.82
Mo2 0.5000 0.0000 0.5000  4 Mo 2.70, 4 Au 2.82, 4 Fe 2.82
Au1 0.5000 0.5000 0.0000  4 Fe 2.70, 8 Mo 2.82

Total moment   1.8 μB per cell
Calculated formation energy   81 kJ/mol of formula units
E   -32.6 eV/f.u.

Record 4
# FeMoAu2

Crystalline FeMoAu2 at its relaxed geometry (PBE-GGA, Alexandria via LeMat-Bulk).

Unit cell a=4.5000 b=4.5000 c=4.5000 alpha=60.00 beta=60.00 gamma=60.00
Closest atoms and distances in Å follow each position.
Atoms (fractional coordinates):
Fe1 0.0000 0.0000 0.0000  4 Au 2.76, 4 Mo 2.76
Mo1 0.2500 0.2500 0.2500  4 Fe 2.76, 4 Au 2.76
Au1 0.5000 0.5000 0.5000  4 Mo 2.76, 4 Au 2.76
Au2 0.7500 0.7500 0.7500  4 Fe 2.76, 4 Au 2.76

Total moment   2.0 μB per cell
Calculated formation energy   143 kJ/mol of formula units
E   -24.4 eV/f.u.

Record 5
# FeMoAu2

Crystalline FeMoAu2 at its relaxed geometry (PBE-GGA, Alexandria via LeMat-Bulk).

Unit cell a=2.7691 b=2.7691 c=8.3579 alpha=90.00 beta=90.00 gamma=94.81
Closest atoms and distances in Å follow each position.
Atoms (fractional coordinates):
Fe1 0.0000 0.0000 0.0000  4 Mo 2.65-2.77, 4 Au 2.71-2.83, 4 Fe 2.77
Mo1 0.5000 0.5000 0.2238  4 Fe 2.65-2.77, 4 Mo 2.77, 2 Au 2.87
Au1 0.0000 0.0000 0.4833  6 Au 2.77-3.01, 4 Mo 2.87-2.98
Au2 0.5000 0.5000 0.7656  4 Fe 2.71-2.83, 6 Au 2.77-3.01

Total moment   2.5 μB per cell
Calculated formation energy   70 kJ/mol of formula units
E   -25.1 eV/f.u.

Record 6
# FeMo2Au

Crystalline FeMo2Au at its relaxed geometry (PBE-GGA, Alexandria via LeMat-Bulk).

Unit cell a=2.7103 b=2.7103 c=8.8041 alpha=90.00 beta=90.00 gamma=106.63
Closest atoms and distances in Å follow each position.
Atoms (fractional coordinates):
Fe1 0.0000 0.0000 0.0000  2 Mo 2.58, 4 Fe 2.71, 2 Au 2.72
Mo1 0.0000 0.0000 0.5193  6 Mo 2.71-2.75, 2 Au 2.89
Mo2 0.5000 0.5000 0.7714  2 Fe 2.58, 6 Mo 2.71-2.75
Au1 0.5000 0.5000 0.2479  4 Au 2.71, 2 Fe 2.72, 2 Mo 2.89

Total moment   2.4 μB per cell
Calculated formation energy   65 kJ/mol of formula units
E   -32.7 eV/f.u.

Among the records above, which one has the lowest E? number 6